ZrTa2W meta-GGA SCAN single point on PBEsol structure; magnetic moment = 0.00 μB per formula unit; energy of formation from the pure elements = 0.1183 eV per atom
1.0
4.6546 0.0000 0.0000
2.3273 4.0310 0.0000
2.3273 1.3437 3.8004
Ta W Zr
2 1 1
direct
0.0000 0.0000 0.0000
0.2500 0.2500 0.2500
0.5000 0.5000 0.5000
0.7500 0.7500 0.7500

Y2Ta meta-GGA SCAN single point on PBEsol structure; magnetic moment = 0.00 μB per formula unit; energy of formation from the pure elements = 0.4788 eV per atom
1.0
-1.1262 1.2599 2.7538
0.2667 -3.2040 -0.3205
7.6283 0.3383 2.9649
Ta Y
1 2
direct
0.0000 0.0000 0.0000
0.6667 0.3333 0.6943
0.3333 0.6667 0.3057

Y3Ta2 meta-GGA SCAN single point on PBEsol structure; magnetic moment = 0.63 μB per formula unit; energy of formation from the pure elements = 0.6029 eV per atom
1.0
4.9030 0.0000 0.0000
-2.4515 4.2461 0.0000
0.0000 0.0000 6.3814
Ta Y
2 3
direct
0.3333 0.6667 0.9069
0.6667 0.3333 0.0931
0.0000 0.0000 0.0000
0.3333 0.6667 0.3564
0.6667 0.3333 0.6436

Y2Ta3 meta-GGA SCAN single point on PBEsol structure; magnetic moment = 1.27 μB per formula unit; energy of formation from the pure elements = 1.4636 eV per atom
1.0
-0.7938 -4.4101 1.4215
3.7895 0.9848 -2.6020
3.2116 1.0587 5.0780
Ta Y
3 2
direct
0.0000 0.0000 0.0000
0.3333 0.6667 0.3831
0.6667 0.3333 0.6169
0.3333 0.6667 0.8560
0.6667 0.3333 0.1440